No. 1
# Pm3InRu2, relaxed, DFT GGA-PBE
# E_tot   -6.199 eV/atom
# Total magnetization   0.000 μB per atom
# Formation energy   -0.2752 eV per atom
data_Pm3InRu2
_space_group_name_H-M_alt 'P 4/m m m'
_space_group_IT_number 123
_space_group_name_Hall '-P 4 2'
_cell_length_a 3.525
_cell_length_b 3.525
_cell_length_c 11.536
_cell_angle_alpha 90.00
_cell_angle_beta 90.00
_cell_angle_gamma 90.00
loop_
_atom_site_label
_atom_site_fract_x
_atom_site_fract_y
_atom_site_fract_z
Pm1 0.000 0.000 0.000
Pm2 0.000 0.000 0.298
In1 0.500 0.500 0.500
Ru1 0.500 0.500 0.155

No. 2
# Pm12InRu6, relaxed, DFT GGA-PBE
# E_tot   -6.285 eV/atom
# Total magnetization   0.000 μB per atom
# Formation energy   -0.2113 eV per atom
data_Pm12InRu6
_space_group_name_H-M_alt 'I m -3'
_space_group_IT_number 204
_space_group_name_Hall '-I 2 2 3'
_cell_length_a 10.096
_cell_length_b 10.096
_cell_length_c 10.096
_cell_angle_alpha 90.00
_cell_angle_beta 90.00
_cell_angle_gamma 90.00
loop_
_atom_site_label
_atom_site_fract_x
_atom_site_fract_y
_atom_site_fract_z
Pm1 0.000 0.298 0.196
In1 0.000 0.000 0.000
Ru1 0.000 0.121 0.500

No. 3
# Pm12In6Ru, relaxed, DFT GGA-PBE
# E_tot   -4.569 eV/atom
# Total magnetization   0.000 μB per atom
# Formation energy   -0.2155 eV per atom
data_Pm12In6Ru
_space_group_name_H-M_alt 'R -3'
_space_group_IT_number 148
_space_group_name_Hall '-R 3'
_cell_length_a 12.4051
_cell_length_b 12.4051
_cell_length_c 13.5914
_cell_angle_alpha 90.00
_cell_angle_beta 90.00
_cell_angle_gamma 120.00
loop_
_atom_site_label
_atom_site_fract_x
_atom_site_fract_y
_atom_site_fract_z
Pm1 0.0383 0.1920 0.3917
Pm2 0.0396 0.8505 0.8707
In1 0.0045 0.4017 0.2635
Ru1 0.0000 0.0000 0.0000

No. 4
# Pm4InRu, relaxed, DFT GGA-PBE
# E_tot   -5.514 eV/atom
# Total magnetization   0.000 μB per atom
# Offset from the most stable computed form   0.000 eV/atom
# Formation energy   -0.3445 eV per atom
data_Pm4InRu
_space_group_name_H-M_alt 'F -4 3 m'
_space_group_IT_number 216
_space_group_name_Hall 'F -4 2 3'
_cell_length_a 13.957
_cell_length_b 13.957
_cell_length_c 13.957
_cell_angle_alpha 90.00
_cell_angle_beta 90.00
_cell_angle_gamma 90.00
loop_
_atom_site_label
_atom_site_fract_x
_atom_site_fract_y
_atom_site_fract_z
Pm1 0.000 0.000 0.190
Pm2 0.057 0.250 0.750
Pm3 0.097 0.097 0.403
In1 0.169 0.169 0.169
Ru1 0.112 0.112 0.612

No. 5
# Pm6InRu2, relaxed, DFT GGA-PBE
# E_tot   -5.831 eV/atom
# Total magnetization   0.000 μB per atom
# Offset from the most stable computed form   0.000 eV/atom
# Formation energy   -0.2979 eV per atom
data_Pm6InRu2
_space_group_name_H-M_alt 'I m m m'
_space_group_IT_number 71
_space_group_name_Hall '-I 2 2'
_cell_length_a 9.614
_cell_length_b 9.823
_cell_length_c 10.662
_cell_angle_alpha 90.00
_cell_angle_beta 90.00
_cell_angle_gamma 90.00
loop_
_atom_site_label
_atom_site_fract_x
_atom_site_fract_y
_atom_site_fract_z
Pm1 0.000 0.204 0.238
Pm2 0.188 0.500 0.172
Pm3 0.213 0.317 0.500
In1 0.000 0.000 0.000
In2 0.000 0.000 0.500
Ru1 0.000 0.323 0.000
Ru2 0.000 0.500 0.375

No. 6
# Pm6InRu2, relaxed, DFT GGA-PBE
# E_tot   -5.754 eV/atom
# Total magnetization   0.000 μB per atom
# Offset from the most stable computed form   0.076 eV/atom
# Formation energy   -0.2214 eV per atom
data_Pm6InRu2
_space_group_name_H-M_alt 'C 1 2/m 1'
_space_group_IT_number 12
_cell_length_a 10.409
_cell_length_b 5.160
_cell_length_c 9.406
_cell_angle_alpha 90.00
_cell_angle_beta 102.52
_cell_angle_gamma 90.00
loop_
_space_group_symop_operation_xyz
'x,y,z'
'-x,-y,-z'
'-x,y,-z'
'x,-y,z'
'x+1/2,y+1/2,z'
'-x+1/2,-y+1/2,-z'
'-x+1/2,y+1/2,-z'
'x+1/2,-y+1/2,z'
loop_
_atom_site_label
_atom_site_fract_x
_atom_site_fract_y
_atom_site_fract_z
Pm1 0.034 0.000 0.348
Pm2 0.165 0.500 0.881
Pm3 0.205 0.500 0.337
In1 0.000 0.000 0.000
Ru1 0.116 0.500 0.596

No. 7
# Pm3In3Ru2, relaxed, DFT GGA-PBE
# E_tot   -5.488 eV/atom
# Total magnetization   0.000 μB per atom
# Formation energy   -0.3608 eV per atom
data_Pm3In3Ru2
_space_group_name_H-M_alt 'C 1 2/m 1'
_space_group_IT_number 12
_cell_length_a 16.702
_cell_length_b 4.688
_cell_length_c 5.182
_cell_angle_alpha 90.00
_cell_angle_beta 99.00
_cell_angle_gamma 90.00
loop_
_space_group_symop_operation_xyz
'x,y,z'
'-x,-y,-z'
'-x,y,-z'
'x,-y,z'
'x+1/2,y+1/2,z'
'-x+1/2,-y+1/2,-z'
'-x+1/2,y+1/2,-z'
'x+1/2,-y+1/2,z'
loop_
_atom_site_label
_atom_site_fract_x
_atom_site_fract_y
_atom_site_fract_z
Pm1 0.000 0.000 0.000
Pm2 0.168 0.000 0.574
In1 0.000 0.500 0.500
In2 0.132 0.500 0.067
Ru1 0.216 0.000 0.091

No. 8
# Pm5InRu4, relaxed, DFT GGA-PBE
# E_tot   -6.571 eV/atom
# Total magnetization   0.000 μB per atom
# Formation energy   -0.2116 eV per atom
data_Pm5InRu4
_space_group_name_H-M_alt 'P 4/m m m'
_space_group_IT_number 123
_space_group_name_Hall '-P 4 2'
_cell_length_a 3.492
_cell_length_b 3.492
_cell_length_c 18.771
_cell_angle_alpha 90.00
_cell_angle_beta 90.00
_cell_angle_gamma 90.00
loop_
_atom_site_label
_atom_site_fract_x
_atom_site_fract_y
_atom_site_fract_z
Pm1 0.000 0.000 0.000
Pm2 0.000 0.000 0.185
Pm3 0.000 0.000 0.370
In1 0.500 0.500 0.500
Ru1 0.500 0.500 0.093
Ru2 0.500 0.500 0.282

No. 9
# Pm5In4Ru, relaxed, DFT GGA-PBE
# E_tot   -4.837 eV/atom
# Total magnetization   0.000 μB per atom
# Formation energy   -0.4385 eV per atom
data_Pm5In4Ru
_space_group_name_H-M_alt 'P 4/m m m'
_space_group_IT_number 123
_space_group_name_Hall '-P 4 2'
_cell_length_a 3.529
_cell_length_b 3.529
_cell_length_c 21.735
_cell_angle_alpha 90.00
_cell_angle_beta 90.00
_cell_angle_gamma 90.00
loop_
_atom_site_label
_atom_site_fract_x
_atom_site_fract_y
_atom_site_fract_z
Pm1 0.000 0.000 0.000
Pm2 0.000 0.000 0.207
Pm3 0.000 0.000 0.422
In1 0.500 0.500 0.103
In2 0.500 0.500 0.311
Ru1 0.500 0.500 0.500

No. 10
# PmIn2Ru, relaxed, DFT GGA-PBE
# E_tot   -5.031 eV/atom
# Total magnetization   0.000 μB per atom
# Offset from the most stable computed form   0.183 eV/atom
# Formation energy   -0.1556 eV per atom
data_PmIn2Ru
_space_group_name_H-M_alt 'R -3 m'
_space_group_IT_number 166
_space_group_name_Hall '-R 3 2"'
_cell_length_a 4.5668
_cell_length_b 4.5668
_cell_length_c 15.7179
_cell_angle_alpha 90.00
_cell_angle_beta 90.00
_cell_angle_gamma 120.00
loop_
_atom_site_label
_atom_site_fract_x
_atom_site_fract_y
_atom_site_fract_z
Pm1 0.0000 0.0000 0.0000
In1 0.0000 0.0000 0.2193
Ru1 0.0000 0.0000 0.5000

No. 11
# PmIn2Ru, relaxed, DFT GGA-PBE
# E_tot   -5.056 eV/atom
# Total magnetization   0.000 μB per atom
# Offset from the most stable computed form   0.158 eV/atom
# Formation energy   -0.1803 eV per atom
data_PmIn2Ru
_space_group_name_H-M_alt 'P 4/m m m'
_space_group_IT_number 123
_space_group_name_Hall '-P 4 2'
_cell_length_a 3.369
_cell_length_b 3.369
_cell_length_c 7.721
_cell_angle_alpha 90.00
_cell_angle_beta 90.00
_cell_angle_gamma 90.00
loop_
_atom_site_label
_atom_site_fract_x
_atom_site_fract_y
_atom_site_fract_z
Pm1 0.000 0.000 0.000
In1 0.500 0.500 0.302
Ru1 0.000 0.000 0.500

No. 12
# Pm4In5Ru2, relaxed, DFT GGA-PBE
# E_tot   -5.031 eV/atom
# Total magnetization   0.000 μB per atom
# Formation energy   -0.3724 eV per atom
data_Pm4In5Ru2
_space_group_name_H-M_alt 'P 1 2/m 1'
_space_group_IT_number 10
_cell_length_a 7.789
_cell_length_b 3.795
_cell_length_c 9.673
_cell_angle_alpha 90.00
_cell_angle_beta 93.84
_cell_angle_gamma 90.00
loop_
_space_group_symop_operation_xyz
'x,y,z'
'-x,-y,-z'
'-x,y,-z'
'x,-y,z'
loop_
_atom_site_label
_atom_site_fract_x
_atom_site_fract_y
_atom_site_fract_z
Pm1 0.173 0.000 0.347
Pm2 0.220 0.000 0.943
In1 0.175 0.500 0.654
In2 0.447 0.500 0.175
In3 0.500 0.500 0.500
Ru1 0.073 0.500 0.139

No. 13
# Pm6In2Ru, relaxed, DFT GGA-PBE
# E_tot   -5.120 eV/atom
# Total magnetization   0.000 μB per atom
# Formation energy   -0.3142 eV per atom
data_Pm6In2Ru
_space_group_name_H-M_alt 'A m m 2'
_space_group_IT_number 38
_cell_length_a 3.911
_cell_length_b 15.291
_cell_length_c 8.845
_cell_angle_alpha 90.00
_cell_angle_beta 90.00
_cell_angle_gamma 90.00
loop_
_space_group_symop_operation_xyz
'x,y,z'
'-x,-y,z'
'-x,y,z'
'x,-y,z'
'x,y+1/2,z+1/2'
'-x,-y+1/2,z+1/2'
'-x,y+1/2,z+1/2'
'x,-y+1/2,z+1/2'
loop_
_atom_site_label
_atom_site_fract_x
_atom_site_fract_y
_atom_site_fract_z
Pm1 0.000 0.000 0.000
Pm2 0.000 0.120 0.637
Pm3 0.500 0.000 0.362
Pm4 0.500 0.197 0.954
In1 0.000 0.167 0.257
Ru1 0.500 0.000 0.761

No. 14
# PmIn2Ru, relaxed, DFT GGA-PBE
# E_tot   -5.014 eV/atom
# Total magnetization   0.000 μB per atom
# Offset from the most stable computed form   0.200 eV/atom
# Formation energy   -0.1387 eV per atom
data_PmIn2Ru
_space_group_name_H-M_alt 'F m -3 m'
_space_group_IT_number 225
_space_group_name_Hall '-F 4 2 3'
_cell_length_a 7.004
_cell_length_b 7.004
_cell_length_c 7.004
_cell_angle_alpha 90.00
_cell_angle_beta 90.00
_cell_angle_gamma 90.00
loop_
_atom_site_label
_atom_site_fract_x
_atom_site_fract_y
_atom_site_fract_z
Pm1 0.000 0.000 0.000
In1 0.250 0.250 0.250
Ru1 0.000 0.000 0.500

No. 15
# PmIn2Ru, relaxed, DFT GGA-PBE
# E_tot   -5.214 eV/atom
# Total magnetization   0.000 μB per atom
# Offset from the most stable computed form   0.000 eV/atom
# Formation energy   -0.3383 eV per atom
data_PmIn2Ru
_space_group_name_H-M_alt 'C m c m'
_space_group_IT_number 63
_space_group_name_Hall '-C 2c 2'
_cell_length_a 4.138
_cell_length_b 10.303
_cell_length_c 8.548
_cell_angle_alpha 90.00
_cell_angle_beta 90.00
_cell_angle_gamma 90.00
loop_
_atom_site_label
_atom_site_fract_x
_atom_site_fract_y
_atom_site_fract_z
Pm1 0.000 0.069 0.250
In1 0.000 0.353 0.047
Ru1 0.000 0.219 0.750

No. 16
# Pm5In2Ru2, relaxed, DFT GGA-PBE
# E_tot   -5.607 eV/atom
# Total magnetization   0.000 μB per atom
# Formation energy   -0.2983 eV per atom
data_Pm5In2Ru2
_space_group_name_H-M_alt 'C m c e'
_space_group_IT_number 64
_space_group_name_Hall '-C 2ac 2'
_cell_length_a 16.615
_cell_length_b 7.582
_cell_length_c 7.870
_cell_angle_alpha 90.00
_cell_angle_beta 90.00
_cell_angle_gamma 90.00
loop_
_atom_site_label
_atom_site_fract_x
_atom_site_fract_y
_atom_site_fract_z
Pm1 0.000 0.000 0.000
Pm2 0.118 0.175 0.324
In1 0.221 0.000 0.000
Ru1 0.000 0.121 0.627

No. 17
# Pm2InRu2, relaxed, DFT GGA-PBE
# E_tot   -6.476 eV/atom
# Total magnetization   0.000 μB per atom
# Formation energy   -0.3173 eV per atom
data_Pm2InRu2
_space_group_name_H-M_alt 'I m m m'
_space_group_IT_number 71
_space_group_name_Hall '-I 2 2'
_cell_length_a 4.484
_cell_length_b 5.883
_cell_length_c 8.631
_cell_angle_alpha 90.00
_cell_angle_beta 90.00
_cell_angle_gamma 90.00
loop_
_atom_site_label
_atom_site_fract_x
_atom_site_fract_y
_atom_site_fract_z
Pm1 0.000 0.000 0.208
In1 0.000 0.500 0.000
Ru1 0.000 0.290 0.500

No. 18
# Pm4InRu, relaxed, DFT GGA-PBE
# E_tot   -5.467 eV/atom
# Total magnetization   0.000 μB per atom
# Offset from the most stable computed form   0.047 eV/atom
# Formation energy   -0.2974 eV per atom
data_Pm4InRu
_space_group_name_H-M_alt 'C 1 2/c 1'
_space_group_IT_number 15
_cell_length_a 8.917
_cell_length_b 13.232
_cell_length_c 6.321
_cell_angle_alpha 90.00
_cell_angle_beta 107.36
_cell_angle_gamma 90.00
loop_
_space_group_symop_operation_xyz
'x,y,z'
'-x,-y,-z'
'-x,y,-z+1/2'
'x,-y,z+1/2'
'x+1/2,y+1/2,z'
'-x+1/2,-y+1/2,-z'
'-x+1/2,y+1/2,-z+1/2'
'x+1/2,-y+1/2,z+1/2'
loop_
_atom_site_label
_atom_site_fract_x
_atom_site_fract_y
_atom_site_fract_z
Pm1 0.110 0.167 0.046
Pm2 0.216 0.420 0.396
In1 0.000 0.377 0.750
Ru1 0.000 0.000 0.250

No. 19
# PmScInRu, relaxed, DFT GGA-PBE
# E_tot   -6.219 eV/atom
# Total magnetization   0.000 μB per atom
# Offset from the most stable computed form   0.000 eV/atom
# Formation energy   -0.4450 eV per atom
data_PmScInRu
_space_group_name_H-M_alt 'P 4 m m'
_space_group_IT_number 99
_cell_length_a 3.340
_cell_length_b 3.340
_cell_length_c 8.037
_cell_angle_alpha 90.00
_cell_angle_beta 90.00
_cell_angle_gamma 90.00
loop_
_space_group_symop_operation_xyz
'x,y,z'
'-y,x,z'
'-x,-y,z'
'y,-x,z'
'-x,y,z'
'y,x,z'
'x,-y,z'
'-y,-x,z'
loop_
_atom_site_label
_atom_site_fract_x
_atom_site_fract_y
_atom_site_fract_z
Pm1 0.000 0.000 0.000
Sc1 0.000 0.000 0.589
In1 0.500 0.500 0.320
Ru1 0.500 0.500 0.763

No. 20
# PmScInRu, relaxed, DFT GGA-PBE
# E_tot   -6.053 eV/atom
# Total magnetization   0.000 μB per atom
# Offset from the most stable computed form   0.166 eV/atom
# Formation energy   -0.2786 eV per atom
data_PmScInRu
_space_group_name_H-M_alt 'F -4 3 m'
_space_group_IT_number 216
_space_group_name_Hall 'F -4 2 3'
_cell_length_a 7.071
_cell_length_b 7.071
_cell_length_c 7.071
_cell_angle_alpha 90.00
_cell_angle_beta 90.00
_cell_angle_gamma 90.00
loop_
_atom_site_label
_atom_site_fract_x
_atom_site_fract_y
_atom_site_fract_z
Pm1 0.000 0.000 0.000
Sc1 0.000 0.000 0.500
In1 0.250 0.250 0.750
Ru1 0.250 0.250 0.250